1.
Computed, not measured: HfV2Sb after structural relaxation at the GGA-PBE level of DFT.

Properties
Its density of states at the Fermi level is 4.86 states/eV per cell. The calculation puts the energy relative to the elements, uncorrected at -0.0685 eV/atom.

Unit cell a=4.2984 b=4.2984 c=3.7351 alpha=90.00 beta=90.00 gamma=90.00
Sites, in units of the cell vectors:
Hf 0.0000 0.0000 0.0000
V 0.0000 0.5000 0.5000
V 0.5000 0.0000 0.5000
Sb 0.5000 0.5000 0.0000

***

2.
Computed, not measured: PPdI2 after structural relaxation at the GGA-PBE level of DFT.

Properties
Its density of states at the Fermi level is 5.74 states/eV per cell. The calculation puts the energy relative to the elements, uncorrected at 0.5186 eV/atom.

Unit cell a=8.5797 b=8.5797 c=8.5797 alpha=141.37 beta=141.37 gamma=55.78
Sites, in units of the cell vectors:
P 0.0000 0.0000 0.0000
P 0.7500 0.2500 0.5000
Pd 0.2500 0.7500 0.5000
Pd 0.5000 0.5000 0.0000
I 0.1257 0.6250 0.0007
I 0.3750 0.3757 0.5007
I 0.6243 0.1250 0.9993
I 0.8750 0.8743 0.4993

***

3.
Computed, not measured: NaZn2Cl2 after structural relaxation at the GGA-PBE level of DFT.

Properties
Its density of states at the Fermi level is 0.87 states/eV per cell. The calculation puts the energy relative to the elements, uncorrected at -0.7245 eV/atom.

Unit cell a=8.7061 b=8.7061 c=8.7061 alpha=156.20 beta=156.20 gamma=33.92
Sites, in units of the cell vectors:
Na 0.0000 0.0000 0.0000
Zn 0.2500 0.7500 0.5000
Zn 0.7500 0.2500 0.5000
Cl 0.4000 0.4000 0.0000
Cl 0.6000 0.6000 0.0000

***

no.,E_tot (eV per cell),distance to the lowest polymorph of the same formula (meV/atom)
1,-32.59,0
2,-23.26,0
3,-11.18,0